The following is a DFT calculation (PBE-GGA) of Na3AcPr2Te6 after structural relaxation.

## Properties
The value obtained for the total energy is -4.39 eV per atom. Its uncorrected formation energy is -1349.1 meV/atom.

Cell lengths 8.0565, 8.0565, 8.0211 Å; angles 99.65, 99.65, 120.01 degrees
Positions (direct):
Na: 0.0000 0.0000 0.0000
Na: 0.3351 0.6649 0.0000
Na: 0.6649 0.3351 0.0000
Ac: 0.5000 0.5000 0.5000
Pr: 0.1670 0.8330 0.5000
Pr: 0.8330 0.1670 0.5000
Te: 0.0762 0.4187 0.2568
Te: 0.2387 0.2387 0.7439
Te: 0.4187 0.0762 0.2568
Te: 0.5813 0.9238 0.7432
Te: 0.7613 0.7613 0.2561
Te: 0.9238 0.5813 0.7432